NbVOF2 | PBE+U | optimized geometry

Properties
The value obtained for the energy above the lowest structure with this stoichiometry is 0 meV/atom.

a b c (Å): 4.335 4.335 3.994
angles (deg): 90.00 90.00 90.00
Space group P4/mmm (No. 123)
Inequivalent atoms, fractional coordinates:
Nb: 0.000 0.000 0.000
V: 0.500 0.500 0.500
O: 0.000 0.000 0.500
F: 0.000 0.500 0.000


NbVOF2 | PBE+U | optimized geometry

Properties
The value obtained for the energy above the lowest structure with this stoichiometry is 308 meV/atom.

a b c (Å): 4.092 4.092 3.893
angles (deg): 90.00 90.00 90.00
Space group P4/mmm (No. 123)
Inequivalent atoms, fractional coordinates:
Nb: 0.000 0.000 0.000
V: 0.500 0.500 0.500
O: 0.500 0.500 0.000
F: 0.000 0.500 0.500


Nb2WOF | PBE+U | optimized geometry

Properties
For the total energy, the calculation gives -5.6837 eV/atom.

a b c (Å): 4.971 4.971 3.965
angles (deg): 90.00 90.00 90.00
Space group P4/mmm (No. 123)
Inequivalent atoms, fractional coordinates:
Nb: 0.000 0.500 0.000
W: 0.000 0.000 0.000
O: 0.500 0.500 0.500
F: 0.000 0.000 0.500


NbWO2F | PBE+U | optimized geometry

Properties
For the total energy, the calculation gives -6.8813 eV/atom.

a b c (Å): 4.048 4.048 4.305
angles (deg): 90.00 90.00 90.00
Space group P4/mmm (No. 123)
Inequivalent atoms, fractional coordinates:
Nb: 0.000 0.000 0.000
W: 0.500 0.500 0.500
O: 0.000 0.500 0.000
F: 0.000 0.000 0.500